# 1
First-principles (GGA-PBE) data for a geometry-optimized CaZrMn structure, as listed in Alexandria via LeMat-Bulk.

**Distance to the lowest polymorph of the same formula**: 237 meV per atom
**Calculated total energy**: -18.2 eV/cell
**Formation energy**: 11.84 kcal/mol of atoms
**Mass density**: 4.42 g/cm³

Cell: 4.9335 4.9335 3.3175 Å, 90.00 90.00 120.00°
Last column: nearest neighbours and their distance in Å.
Fractional coordinates of all 3 atoms:
Ca 0.0000 0.0000 0.0000  6 Zr 3.30, 6 Mn 3.30, 2 Ca 3.32
Zr 0.3333 0.6667 0.5000  3 Mn 2.85
Mn 0.6667 0.3333 0.5000  3 Zr 2.85

---

# 2
First-principles (GGA-PBE) data for a geometry-optimized ZrGa2Fe structure, as listed in Alexandria via LeMat-Bulk.

**Calculated total energy**: -23.5 eV/cell
**Formation energy**: -2.76 kcal/mol of atoms
**Mass density**: 8.03 g/cm³

Cell: 4.3759 4.3759 4.3759 Å, 60.00 60.00 60.00°
Last column: nearest neighbours and their distance in Å.
Fractional coordinates of all 4 atoms:
Zr 0.0000 0.0000 0.0000  8 Ga 2.68
Ga 0.2500 0.2500 0.2500  4 Zr 2.68, 4 Fe 2.68
Ga 0.7500 0.7500 0.7500  4 Fe 2.68, 4 Zr 2.68
Fe 0.5000 0.5000 0.5000  8 Ga 2.68

---

# 3
First-principles (GGA-PBE) data for a geometry-optimized RbFeSn2S structure, as listed in Alexandria via LeMat-Bulk.

**Calculated total energy**: -21.3 eV/cell
**Mass density**: 5.15 g/cm³
**ΔE_f (raw)**: 0.053 eV per atom

Cell: 5.1516 5.1516 4.9874 Å, 90.00 90.00 90.00°
Last column: nearest neighbours and their distance in Å.
Fractional coordinates of all 5 atoms:
Rb 0.0000 0.0000 0.0000  8 Sn 3.59, 4 S 3.64
Fe 0.5000 0.5000 0.5000  2 S 2.49, 4 Sn 2.58
Sn 0.0000 0.5000 0.5000  2 Fe 2.58
Sn 0.5000 0.0000 0.5000  2 Fe 2.58
S 0.5000 0.5000 0.0000  2 Fe 2.49

---

| no. | magnetic moment (Bohr magnetons per cell) |
| --- | --- |
| 1 | 1.92 |
| 2 | 0.00 |
| 3 | 2.65 |